1.
Material: Nd4Sm2Ho2Er
Method: DFT, PBE
State: relaxed

The structure belongs to space group C2/m (No. 12); the cell edges are 15.3714, 5.1218 and 8.0609 Å and the angles 90.00°, 108.57° and 90.00°. The distinct sites, in fractional coordinates, are Nd at (0.0547, 0.0000, 0.3306), Nd at (0.2220, 0.5000, 0.3306), Sm at (0.1116, 0.5000, 0.6700), Ho at (0.1667, 0.0000, 0.9998) and Er at (0.0000, 0.5000, 0.0000).

Its formation energy is 0.19 eV per formula unit. For the calculated total energy, the calculation gives -4.6711 eV/atom. The calculation puts the magnetization at 0.00 μB/f.u. The crystal system is monoclinic.

=====

2.
Material: Nd2SmHo5Er
Method: DFT, PBE
State: relaxed

The structure belongs to space group I4/mcm (No. 140); the cell edges are 8.6692, 8.6692 and 15.5565 Å and the angles 90.00°, 90.00° and 90.00°. The distinct sites, in fractional coordinates, are Nd at (0.1173, 0.3827, 0.0000), Sm at (0.0000, 0.0000, 0.2500), Ho at (0.0000, 0.0000, 0.0000), Ho at (0.2115, 0.2885, 0.3609) and Er at (0.0000, 0.5000, 0.2500).

Its formation energy is 2.44 eV per formula unit. For the calculated total energy, the calculation gives -4.3633 eV/atom. The calculation puts the magnetization at 0.00 μB/f.u. The crystal system is tetragonal.

=====

3.
Material: Nd3Sm6Ho2Er
Method: DFT, PBE
State: relaxed

The structure belongs to space group C2/m (No. 12); the cell edges are 6.2645, 10.8504 and 11.9648 Å and the angles 90.00°, 100.05° and 90.00°. The distinct sites, in fractional coordinates, are Nd at (0.0000, 0.0000, 0.0000), Nd at (0.0000, 0.3333, 0.0000), Sm at (0.2491, 0.0000, 0.7455), Sm at (0.2488, 0.3334, 0.7454), Ho at (0.0000, 0.1666, 0.5000) and Er at (0.0000, 0.5000, 0.5000).

Its formation energy is 0.20 eV per formula unit. For the calculated total energy, the calculation gives -4.6777 eV/atom. The calculation puts the magnetization at 0.00 μB/f.u. The crystal system is monoclinic.

=====

4.
Material: NdSm3HoEr
Method: DFT, PBE
State: relaxed

The structure belongs to space group Cmcm (No. 63); the cell edges are 5.8072, 11.6466 and 11.7431 Å and the angles 90.00°, 90.00° and 90.00°. The distinct sites, in fractional coordinates, are Nd at (0.0000, 0.0274, 0.2500), Sm at (0.0000, 0.1736, 0.5345), Sm at (0.0000, 0.3695, 0.7500), Ho at (0.0000, 0.5000, 0.0000) and Er at (0.0000, 0.3278, 0.2500).

Its formation energy is 0.71 eV per formula unit. For the calculated total energy, the calculation gives -4.5600 eV/atom. The calculation puts the magnetization at 0.00 μB/f.u. The crystal system is orthorhombic.

=====

5.
Material: Nd5Sm2HoEr
Method: DFT, PBE
State: relaxed

The structure belongs to space group I4/mcm (No. 140); the cell edges are 8.6053, 8.6053 and 16.7597 Å and the angles 90.00°, 90.00° and 90.00°. The distinct sites, in fractional coordinates, are Nd at (0.0000, 0.0000, 0.0000), Nd at (0.2161, 0.2839, 0.1427), Sm at (0.1217, 0.3783, 0.5000), Ho at (0.0000, 0.0000, 0.2500) and Er at (0.0000, 0.5000, 0.2500).

Its formation energy is 2.58 eV per formula unit. For the calculated total energy, the calculation gives -4.4267 eV/atom. The calculation puts the magnetization at 0.00 μB/f.u. The crystal system is tetragonal.

=====

6.
Material: NdSmHoEr3
Method: DFT, PBE
State: relaxed

The structure belongs to space group P2_1/m (No. 11); the cell edges are 10.6432, 3.5549 and 10.6900 Å and the angles 90.00°, 109.37° and 90.00°. The distinct sites, in fractional coordinates, are Nd at (0.2080, 0.2500, 0.3740), Sm at (0.3746, 0.2500, 0.8751), Ho at (0.1243, 0.7500, 0.6262), Er at (0.0420, 0.2500, 0.8763), Er at (0.2909, 0.7500, 0.1241) and Er at (0.4594, 0.7500, 0.6249).

Its formation energy is 0.12 eV per formula unit. For the calculated total energy, the calculation gives -4.6057 eV/atom. The calculation puts the magnetization at 0.00 μB/f.u. The crystal system is monoclinic.

=====

7.
Material: Nd4SmHo2Er
Method: DFT, PBE
State: relaxed

The structure belongs to space group P2/m (No. 10); the cell edges are 6.2614, 3.6269 and 11.8996 Å and the angles 90.00°, 100.22° and 90.00°. The distinct sites, in fractional coordinates, are Nd at (0.2485, 0.0000, 0.2478), Nd at (0.2506, 0.5000, 0.7513), Sm at (0.5000, 0.5000, 0.5000), Ho at (0.0000, 0.0000, 0.5000), Ho at (0.0000, 0.5000, 0.0000) and Er at (0.5000, 0.0000, 0.0000).

Its formation energy is 0.13 eV per formula unit. For the calculated total energy, the calculation gives -4.6728 eV/atom. The calculation puts the magnetization at 0.00 μB/f.u. The crystal system is monoclinic.

=====

8.
Material: NdSm2HoEr
Method: DFT, PBE
State: relaxed

The structure belongs to space group Cmcm (No. 63); the cell edges are 8.4318, 11.5751 and 7.2408 Å and the angles 90.00°, 90.00° and 90.00°. The distinct sites, in fractional coordinates, are Nd at (0.0000, 0.2263, 0.2500), Sm at (0.1920, 0.0000, 0.0000), Ho at (0.0000, 0.4935, 0.2500) and Er at (0.0000, 0.2293, 0.7500).

Its formation energy is 1.97 eV per formula unit. For the calculated total energy, the calculation gives -4.2763 eV/atom. The calculation puts the magnetization at 0.00 μB/f.u. The crystal system is orthorhombic.

=====

9.
Material: Nd2SmHoEr2
Method: DFT, PBE
State: relaxed

The structure belongs to space group Pnnm (No. 58); the cell edges are 6.5866, 18.0747 and 3.3917 Å and the angles 90.00°, 90.00° and 90.00°. The distinct sites, in fractional coordinates, are Nd at (0.2276, 0.1867, 0.0000), Sm at (0.0000, 0.5000, 0.0000), Ho at (0.0000, 0.0000, 0.0000) and Er at (0.2266, 0.3543, 0.5000).

Its formation energy is 1.60 eV per formula unit. For the calculated total energy, the calculation gives -4.3936 eV/atom. The calculation puts the magnetization at 0.00 μB/f.u. The crystal system is orthorhombic.

=====

10.
Material: NdSm6Ho2Er
Method: DFT, PBE
State: relaxed

The structure belongs to space group C2/c (No. 15); the cell edges are 9.2319, 15.1953 and 9.5971 Å and the angles 90.00°, 96.83° and 90.00°. The distinct sites, in fractional coordinates, are Nd at (0.0000, 0.0276, 0.2500), Sm at (0.0620, 0.1810, 0.9447), Sm at (0.0979, 0.3902, 0.1179), Sm at (0.2133, 0.2242, 0.3150), Ho at (0.2474, 0.4497, 0.4527) and Er at (0.0000, 0.4108, 0.7500).

Its formation energy is 1.17 eV per formula unit. For the calculated total energy, the calculation gives -4.5629 eV/atom. The calculation puts the magnetization at 0.00 μB/f.u. The crystal system is monoclinic.

=====

11.
Material: TbNdHoEr
Method: DFT, PBE
State: relaxed

The structure belongs to space group F-43m (No. 216); the cell edges are 8.0419, 8.0419 and 8.0419 Å and the angles 90.00°, 90.00° and 90.00°. The distinct sites, in fractional coordinates, are Tb at (0.0000, 0.0000, 0.0000), Nd at (0.0000, 0.0000, 0.5000), Ho at (0.2500, 0.2500, 0.7500) and Er at (0.2500, 0.2500, 0.2500).

Its formation energy is 0.50 eV per formula unit. For the calculated total energy, the calculation gives -4.5109 eV/atom. The calculation puts the magnetization at 0.00 μB/f.u. The energy above the most stable polymorph in this dataset comes out at 105 meV per atom. The crystal system is cubic.

=====

12.
Material: TbNd3HoEr
Method: DFT, PBE
State: relaxed

The structure belongs to space group Cmcm (No. 63); the cell edges are 5.0917, 15.3283 and 10.1973 Å and the angles 90.00°, 90.00° and 90.00°. The distinct sites, in fractional coordinates, are Tb at (0.0000, 0.0000, 0.0000), Nd at (0.0000, 0.1663, 0.2500), Nd at (0.0000, 0.3346, 0.0003), Ho at (0.0000, 0.4986, 0.2500) and Er at (0.0000, 0.1650, 0.7500).

Its formation energy is 0.12 eV per formula unit. For the calculated total energy, the calculation gives -4.6595 eV/atom. The calculation puts the magnetization at 0.00 μB/f.u. The crystal system is orthorhombic.